A plane-wave DFT calculation with PBE was carried out for crystalline K3Na12In at its relaxed geometry. Values from VASP.

Quantum ESPRESSO input file:
```
&SYSTEM
  ibrav = 0, nat = 16, ntyp = 3
/
ATOMIC_SPECIES
K 39.10 K.upf
Na 22.99 Na.upf
In 114.82 In.upf
CELL_PARAMETERS angstrom
5.7574 0.0000 0.0000
0.0000 5.7574 0.0000
0.0000 0.0000 19.6545
ATOMIC_POSITIONS crystal
K 0.0000 0.0000 0.0000
K 0.0000 0.0000 0.2785
K 0.0000 0.0000 0.7215
Na 0.0000 0.5000 0.1386
Na 0.0000 0.5000 0.4072
Na 0.0000 0.5000 0.5928
Na 0.0000 0.5000 0.8614
Na 0.5000 0.0000 0.1386
Na 0.5000 0.0000 0.4072
Na 0.5000 0.0000 0.5928
Na 0.5000 0.0000 0.8614
Na 0.5000 0.5000 0.0000
Na 0.5000 0.5000 0.2678
Na 0.5000 0.5000 0.5000
Na 0.5000 0.5000 0.7322
In 0.0000 0.0000 0.5000
```

* magnetization: 0.000 μB per formula unit
* uncorrected energy: -1.357 eV/atom
* crystal system: tetragonal
* space-group type: No. 123
* ΔE_f: 9.0 meV per atom
* volume: 651.50 Å³/f.u.
* D(E_F): 6.66 states/eV per cell